Material: TaAs2Br
Method: DFT, PBE
State: relaxed

a = 2.9924 Å, b = 4.9968 Å, c = 11.3161 Å
α = 90.00°, β = 90.00°, γ = 90.00°
With the nearest neighbours (Å) after each atom.
Fractional positions:
Ta: 0.0000 0.0000 0.0000  4 As 2.73, 4 Br 2.91, 2 Ta 2.99
Ta: 0.5000 0.5000 0.5000  4 As 2.73, 4 Br 2.91, 2 Ta 2.99
As: 0.0000 0.5000 0.2983  2 Ta 2.73, 2 As 2.99
As: 0.0000 0.5000 0.7017  2 Ta 2.73, 2 As 2.99
As: 0.5000 0.0000 0.2017  2 Ta 2.73, 2 As 2.99
As: 0.5000 0.0000 0.7983  2 Ta 2.73, 2 As 2.99
Br: 0.0000 0.0000 0.5000  4 Ta 2.91, 2 Br 2.99
Br: 0.5000 0.5000 0.0000  4 Ta 2.91, 2 Br 2.99

Results
For the uncorrected formation energy, the calculation gives 0.286 eV per atom. Its crystal system is orthorhombic. Its distance to the lowest polymorph of the same formula is 0.5420 eV per atom. The total magnetic moment comes out at 0.00 μB per formula unit.


Material: TaAsBr2
Method: DFT, PBE
State: relaxed

a = 9.5552 Å, b = 9.5552 Å, c = 4.9745 Å
α = 90.00°, β = 90.00°, γ = 90.00°
With the nearest neighbours (Å) after each atom.
Fractional positions:
Ta: 0.0000 0.0000 0.0000  2 As 2.49, 4 Br 2.67
Ta: 0.0000 0.5000 0.2500  2 As 2.49, 4 Br 2.67
Ta: 0.5000 0.0000 0.7500  2 As 2.49, 4 Br 2.67
Ta: 0.5000 0.5000 0.5000  2 As 2.49, 4 Br 2.67
As: 0.0000 0.0000 0.5000  2 Ta 2.49
As: 0.0000 0.5000 0.7500  2 Ta 2.49
As: 0.5000 0.0000 0.2500  2 Ta 2.49
As: 0.5000 0.5000 0.0000  2 Ta 2.49
Br: 0.1063 0.7500 0.1250  2 Ta 2.67
Br: 0.2500 0.1063 0.8750  2 Ta 2.67
Br: 0.2500 0.3937 0.3750  2 Ta 2.67
Br: 0.3937 0.7500 0.6250  2 Ta 2.67
Br: 0.6063 0.2500 0.6250  2 Ta 2.67
Br: 0.7500 0.6063 0.3750  2 Ta 2.67
Br: 0.7500 0.8937 0.8750  2 Ta 2.67
Br: 0.8937 0.2500 0.1250  2 Ta 2.67

Results
For the uncorrected formation energy, the calculation gives -0.018 eV per atom. Its crystal system is tetragonal. Its distance to the lowest polymorph of the same formula is 0.3516 eV per atom. The total magnetic moment comes out at 0.00 μB per formula unit.


Material: TaAs2Br
Method: DFT, PBE
State: relaxed

a = 4.6440 Å, b = 3.0782 Å, c = 5.8524 Å
α = 90.00°, β = 109.94°, γ = 90.00°
With the nearest neighbours (Å) after each atom.
Fractional positions:
Ta: 0.0000 0.0000 0.0000  4 Br 2.79, 2 As 2.93, 2 Ta 3.08
As: 0.0000 0.0000 0.5000  6 As 2.79-3.08, 2 Ta 2.93
As: 0.5000 0.5000 0.5000  6 As 2.79-3.08, 2 Br 2.93
Br: 0.5000 0.5000 0.0000  4 Ta 2.79, 2 As 2.93, 2 Br 3.08

Results
For the uncorrected formation energy, the calculation gives 0.586 eV per atom. Its crystal system is monoclinic. Its distance to the lowest polymorph of the same formula is 0.8421 eV per atom. The total magnetic moment comes out at 0.00 μB per formula unit.


Copy entry 2 word for word.
Material: TaAsBr2
Method: DFT, PBE
State: relaxed

a = 9.5552 Å, b = 9.5552 Å, c = 4.9745 Å
α = 90.00°, β = 90.00°, γ = 90.00°
With the nearest neighbours (Å) after each atom.
Fractional positions:
Ta: 0.0000 0.0000 0.0000  2 As 2.49, 4 Br 2.67
Ta: 0.0000 0.5000 0.2500  2 As 2.49, 4 Br 2.67
Ta: 0.5000 0.0000 0.7500  2 As 2.49, 4 Br 2.67
Ta: 0.5000 0.5000 0.5000  2 As 2.49, 4 Br 2.67
As: 0.0000 0.0000 0.5000  2 Ta 2.49
As: 0.0000 0.5000 0.7500  2 Ta 2.49
As: 0.5000 0.0000 0.2500  2 Ta 2.49
As: 0.5000 0.5000 0.0000  2 Ta 2.49
Br: 0.1063 0.7500 0.1250  2 Ta 2.67
Br: 0.2500 0.1063 0.8750  2 Ta 2.67
Br: 0.2500 0.3937 0.3750  2 Ta 2.67
Br: 0.3937 0.7500 0.6250  2 Ta 2.67
Br: 0.6063 0.2500 0.6250  2 Ta 2.67
Br: 0.7500 0.6063 0.3750  2 Ta 2.67
Br: 0.7500 0.8937 0.8750  2 Ta 2.67
Br: 0.8937 0.2500 0.1250  2 Ta 2.67

Results
For the uncorrected formation energy, the calculation gives -0.018 eV per atom. Its crystal system is tetragonal. Its distance to the lowest polymorph of the same formula is 0.3516 eV per atom. The total magnetic moment comes out at 0.00 μB per formula unit.